Entry from Alexandria via LeMat-Bulk: crystalline LiHg2Te2 at its relaxed geometry (PBE).

Its space-group type is P4/mbm. For the uncorrected formation energy, the calculation gives -0.61 eV per formula unit.

Cell: 8.184 8.184 4.084 Å, 90.00 90.00 90.00°
Positions (direct):
Li (0.000, 0.000, 0.000)
Li (0.500, 0.500, 0.000)
Hg (0.129, 0.371, 0.000)
Hg (0.371, 0.871, 0.000)
Hg (0.629, 0.129, 0.000)
Hg (0.871, 0.629, 0.000)
Te (0.184, 0.684, 0.500)
Te (0.316, 0.184, 0.500)
Te (0.684, 0.816, 0.500)
Te (0.816, 0.316, 0.500)